Entry 1:
TiMn3Pd | PBE | optimized geometry

The energy above the most stable polymorph in this dataset is 0.0 meV/atom. For the density of states at the Fermi level, the calculation gives 4.61 states/eV per cell. The space group is Pm-3m, No. 221. For the formation energy from the elements, the calculation gives 469 kJ/mol of formula units.

Structure (POSCAR):
```
TiMn3Pd
1.0
-1.4996 -3.7812 -2.4685
2.8108 1.2541 -3.6285
3.5342 -2.6018 1.8385
Mn Pd Ti
3 1 1
Direct
0.0000 0.5000 0.0000
0.0000 0.0000 0.5000
0.5000 0.0000 0.0000
0.0000 0.0000 0.0000
0.5000 0.5000 0.5000
```

Entry 2:
Ti2MnPd | PBE | optimized geometry

For the density of states at the Fermi level, the calculation gives 8.80 states/eV per cell. The space group is I-42d, No. 122. For the formation energy from the elements, the calculation gives 83 kJ/mol of formula units.

Structure (POSCAR):
```
Ti2MnPd
1.0
3.7909 0.0000 0.0000
0.0000 3.7909 0.0000
1.8954 1.8954 9.2313
Mn Pd Ti
2 2 4
Direct
0.5000 0.5000 0.0000
0.2500 0.7500 0.5000
0.0000 0.0000 0.0000
0.7500 0.2500 0.5000
0.6209 0.1250 0.2500
0.1291 0.6250 0.2500
0.3750 0.3791 0.7500
0.8750 0.8709 0.7500
```

Entry 3:
Ti6MnPd8 | PBE | optimized geometry

For the density of states at the Fermi level, the calculation gives 18.44 states/eV per cell. The space group is P-3, No. 147. For the formation energy from the elements, the calculation gives -331 kJ/mol of formula units.

Structure (POSCAR):
```
Ti6MnPd8
1.0
2.8578 0.0000 0.0000
0.0000 10.0267 0.0000
0.0000 -5.0133 8.6833
Ti Mn Pd
6 1 8
Direct
0.7418 0.5340 0.6321
0.7418 0.3679 0.9020
0.7418 0.0980 0.4660
0.2582 0.4660 0.3679
0.2582 0.6321 0.0980
0.2582 0.9020 0.5340
0.5000 0.0000 0.0000
0.7734 0.7139 0.9243
0.7734 0.0757 0.7896
0.7734 0.2104 0.2861
0.2266 0.2861 0.0757
0.2266 0.9243 0.2104
0.2266 0.7896 0.7139
0.7602 0.6667 0.3333
0.2398 0.3333 0.6667
```

Entry 4:
Ti4MnPd | PBE | optimized geometry

The energy above the most stable polymorph in this dataset is 0.0 meV/atom. For the density of states at the Fermi level, the calculation gives 8.13 states/eV per cell. The space group is P4/mmm, No. 123. For the formation energy from the elements, the calculation gives -165 kJ/mol of formula units.

Structure (POSCAR):
```
Ti4MnPd
1.0
-1.5112 0.8534 -2.5361
-2.6487 -0.0634 1.5570
1.1947 9.2847 2.4117
Ti Mn Pd
4 1 1
Direct
0.4999 0.4999 0.8527
0.5001 0.5001 0.1473
0.0000 0.0000 0.6719
0.0000 0.0000 0.3281
0.0000 0.0000 0.0000
0.5000 0.5000 0.5000
```

Entry 5:
Ti2Mn5Pd12 | PBE | optimized geometry

For the density of states at the Fermi level, the calculation gives 12.10 states/eV per cell. The space group is C2/m, No. 12. For the formation energy from the elements, the calculation gives -231 kJ/mol of formula units.

Structure (POSCAR):
```
Ti2Mn5Pd12
1.0
7.5464 0.0000 0.0000
-3.7732 6.3540 0.9746
0.0000 -0.3923 6.3051
Ti Mn Pd
2 5 12
Direct
0.7723 0.0000 0.0000
0.2277 0.0000 0.0000
0.2190 0.4379 0.4844
0.3418 0.6836 0.1137
0.0000 0.0000 0.5000
0.6582 0.3164 0.8863
0.7810 0.5621 0.5156
0.1255 0.2510 0.1175
0.0731 0.5305 0.7983
0.4574 0.5305 0.7983
0.1871 0.7988 0.4227
0.6117 0.7988 0.4227
0.4516 0.9032 0.7640
0.5484 0.0968 0.2360
0.8129 0.2012 0.5773
0.3883 0.2012 0.5773
0.9269 0.4695 0.2017
0.5426 0.4695 0.2017
0.8745 0.7490 0.8825
```

Entry 6:
Ti4MnPd15 | PBE | optimized geometry

For the density of states at the Fermi level, the calculation gives 6.91 states/eV per cell. The space group is P4/mmm, No. 123. For the formation energy from the elements, the calculation gives -1104 kJ/mol of formula units.

Structure (POSCAR):
```
Ti4MnPd15
1.0
-2.6368 2.5418 1.4284
-1.4537 0.5234 -3.6148
-12.6051 -14.7265 2.9365
Ti Mn Pd
4 1 15
Direct
0.0000 0.0000 0.1956
0.0000 0.0000 0.3990
0.0000 0.0000 0.6010
0.0000 0.0000 0.8044
0.0000 0.0000 0.0000
0.5000 0.5000 0.0000
0.5000 0.5000 0.2021
0.5000 0.5000 0.4006
0.5000 0.5000 0.5994
0.5000 0.5000 0.7979
0.5000 0.0000 0.1027
0.5000 0.0000 0.3015
0.5000 0.0000 0.5000
0.5000 0.0000 0.6985
0.5000 0.0000 0.8973
0.0000 0.5000 0.1027
0.0000 0.5000 0.3015
0.0000 0.5000 0.5000
0.0000 0.5000 0.6985
0.0000 0.5000 0.8973
```

Entry 7:
Ti2MnPdW | PBE | optimized geometry

For the density of states at the Fermi level, the calculation gives 7.36 states/eV per cell. The space group is P4/mmm, No. 123. For the formation energy from the elements, the calculation gives 284 kJ/mol of formula units.

Structure (POSCAR):
```
Ti2MnPdW
1.0
4.4237 0.0000 0.0000
0.0000 4.4768 0.0000
0.0000 0.0000 4.4237
Mn Pd W Ti
1 1 1 2
Direct
0.0000 0.0000 0.0000
0.5000 0.5000 0.5000
0.0000 0.5000 0.0000
0.0000 0.0000 0.5000
0.5000 0.0000 0.0000
```

Entry 8:
Mn3TlPd12 | PBE | optimized geometry

For the density of states at the Fermi level, the calculation gives 18.46 states/eV per cell. The space group is P4/mmm, No. 123. For the formation energy from the elements, the calculation gives -323 kJ/mol of formula units.

Structure (POSCAR):
```
Mn3TlPd12
1.0
3.9647 0.0000 0.0000
0.0000 3.9647 0.0000
0.0000 0.0000 15.8526
Mn Tl Pd
3 1 12
Direct
0.0000 0.0000 0.2552
0.0000 0.0000 0.5000
0.0000 0.0000 0.7448
0.0000 0.0000 0.0000
0.5000 0.5000 0.0000
0.5000 0.5000 0.2566
0.5000 0.5000 0.5000
0.5000 0.5000 0.7434
0.5000 0.0000 0.1348
0.5000 0.0000 0.3781
0.5000 0.0000 0.6219
0.5000 0.0000 0.8652
0.0000 0.5000 0.1348
0.0000 0.5000 0.3781
0.0000 0.5000 0.6219
0.0000 0.5000 0.8652
```

Entry 9:
MnTl2Pd8 | PBE | optimized geometry

The energy above the most stable polymorph in this dataset is 0.0 meV/atom. For the density of states at the Fermi level, the calculation gives 7.14 states/eV per cell. The space group is Immm, No. 71. For the formation energy from the elements, the calculation gives -176 kJ/mol of formula units.

Structure (POSCAR):
```
MnTl2Pd8
1.0
-2.9140 -2.6636 -0.4799
-0.1666 1.6006 -7.8718
5.5982 -3.7362 3.2223
Mn Tl Pd
1 2 8
Direct
0.5000 0.0000 0.0000
0.1532 0.6532 0.3065
0.8468 0.3468 0.6935
0.6649 0.9182 0.3298
0.3351 0.5884 0.6702
0.1653 0.1653 0.3305
0.0000 0.2371 0.0000
0.8347 0.8347 0.6695
0.6649 0.4116 0.3298
0.3351 0.0818 0.6702
0.0000 0.7629 0.0000
```

Entry 10:
MnTl4Pd15 | PBE | optimized geometry

For the density of states at the Fermi level, the calculation gives 20.65 states/eV per cell. The space group is P4/mmm, No. 123. For the formation energy from the elements, the calculation gives -367 kJ/mol of formula units.

Structure (POSCAR):
```
MnTl4Pd15
1.0
4.0461 0.0000 0.0000
0.0000 4.0461 0.0000
0.0000 0.0000 20.3035
Mn Tl Pd
1 4 15
Direct
0.0000 0.0000 0.0000
0.0000 0.0000 0.1950
0.0000 0.0000 0.3981
0.0000 0.0000 0.6019
0.0000 0.0000 0.8050
0.5000 0.5000 0.0000
0.5000 0.5000 0.1926
0.5000 0.5000 0.3976
0.5000 0.5000 0.6024
0.5000 0.5000 0.8074
0.5000 0.0000 0.0918
0.5000 0.0000 0.2956
0.5000 0.0000 0.5000
0.5000 0.0000 0.7044
0.5000 0.0000 0.9082
0.0000 0.5000 0.0918
0.0000 0.5000 0.2956
0.0000 0.5000 0.5000
0.0000 0.5000 0.7044
0.0000 0.5000 0.9082
```

Entry 11:
Mn3TlPd | PBE | optimized geometry

The energy above the most stable polymorph in this dataset is 0.0 meV/atom. For the density of states at the Fermi level, the calculation gives 3.63 states/eV per cell. The space group is Pm-3m, No. 221. For the formation energy from the elements, the calculation gives 360 kJ/mol of formula units.

Structure (POSCAR):
```
Mn3TlPd
1.0
-3.0364 -3.7886 -0.6982
-0.3753 -0.5938 4.8546
-3.8340 3.0585 0.0777
Tl Mn Pd
1 3 1
Direct
0.5000 0.5000 0.5000
0.0000 0.5000 0.0000
0.0000 0.0000 0.5000
0.5000 0.0000 0.0000
0.0000 0.0000 0.0000
```